20
Lattice="-2.204 -1.966 0.581 4.832 -2.983 8.233 -4.800 6.962 5.339" Properties=species:S:1:pos:R:3 comment="PBE Ti5Mn2Ga2Co, optimized geometry" dft_energy_ev_per_atom=-7.25 pbc="T T T"
Ti -0.529 -1.038 2.277
Ti -1.644 3.052 11.877
Ti -4.616 4.414 5.216
Ti 0.204 -0.088 8.265
Ti 2.443 -2.400 8.938
Ti -2.377 2.102 5.889
Ti -1.651 2.126 8.721
Ti -0.522 -0.112 5.432
Ti 1.314 -2.474 4.407
Ti -3.502 2.498 2.960
Mn -2.396 4.018 4.501
Mn 2.427 -0.038 9.072
Mn -1.085 4.129 9.846
Mn 1.116 -0.150 3.726
Ga 2.421 -0.812 6.435
Ga -2.390 4.791 7.137
Ga -0.755 1.782 3.164
Ga 0.786 2.197 10.408
Co 0.000 0.000 0.000
Co 0.016 1.990 6.786

4
Lattice="0.000 3.603 3.603 3.603 0.000 3.603 3.603 3.603 0.000" Properties=species:S:1:pos:R:3 comment="PBE YZr2Ti, optimized geometry" dft_energy_ev_per_atom=-7.59 pbc="T T T"
Y 3.603 3.603 3.603
Zr 1.802 1.802 1.802
Zr 5.405 5.405 5.405
Ti 0.000 0.000 0.000

4
Lattice="3.095 -0.006 -0.001 1.542 2.684 -0.001 1.542 0.890 7.981" Properties=species:S:1:pos:R:3 comment="PBE Tc2SnGe, optimized geometry" dft_energy_ev_per_atom=-7.19 pbc="T T T"
Tc 1.546 0.892 6.105
Tc 1.540 0.889 1.875
Sn 3.092 1.785 3.987
Ge 3.092 1.785 0.001

4
Lattice="-0.340 2.295 4.213 -1.669 -3.091 3.286 3.639 -0.360 -3.124" Properties=species:S:1:pos:R:3 comment="PBE CoOsAu2, optimized geometry" dft_energy_ev_per_atom=-5.63 pbc="T T T"
Au 0.000 0.000 0.000
Au 0.483 -1.924 1.956
Co -1.005 -0.398 3.749
Os 1.147 0.769 2.419

5
Lattice="-2.586 3.480 -4.184 3.485 -2.499 -4.232 -4.180 -4.237 -0.940" Properties=species:S:1:pos:R:3 comment="PBE SrTe3Ir, optimized geometry" e_form_raw_kj_per_mol_atoms=132.7 dft_energy_ev_per_atom=-2.62 pbc="T T T"
Sr 0.000 0.000 0.000
Ir -1.640 -1.628 -4.678
Te 1.743 -1.250 -2.116
Te -2.090 -2.118 -0.470
Te -1.293 1.740 -2.092

10
Lattice="-3.147 1.378 -2.611 -1.995 -3.491 4.128 -1.239 6.581 4.967" Properties=species:S:1:pos:R:3 comment="PBE UPdPt2Au, optimized geometry" dft_energy_ev_per_atom=-6.76 pbc="T T T"
U -2.776 5.410 2.636
U -3.605 -0.942 3.848
Pd 0.000 0.000 0.000
Pd -0.620 3.290 2.483
Pt -3.522 4.553 6.648
Pt -2.860 -0.085 -0.164
Pt -2.980 1.673 4.474
Pt -3.402 2.795 2.009
Au -4.867 3.769 4.289
Au -1.515 0.699 2.195

Please write out number 3 again, unchanged.
4
Lattice="3.095 -0.006 -0.001 1.542 2.684 -0.001 1.542 0.890 7.981" Properties=species:S:1:pos:R:3 comment="PBE Tc2SnGe, optimized geometry" dft_energy_ev_per_atom=-7.19 pbc="T T T"
Tc 1.546 0.892 6.105
Tc 1.540 0.889 1.875
Sn 3.092 1.785 3.987
Ge 3.092 1.785 0.001